## 1
# SiW2C, relaxed, DFT PBE-GGA
# Crystal system = trigonal
# D(E_F) = 7.5 states/eV per cell
data_SiW2C
_chemical_formula_sum 'Si3 W6 C3'
_symmetry_space_group_name_H-M 'R -3 m'
_symmetry_Int_Tables_number 166
_symmetry_space_group_name_Hall '-R 3 2"'
_cell_length_a 2.9901
_cell_length_b 2.9901
_cell_length_c 20.2220
_cell_angle_alpha 90.00
_cell_angle_beta 90.00
_cell_angle_gamma 120.00
loop_
_atom_site_label
_atom_site_fract_x
_atom_site_fract_y
_atom_site_fract_z
Si1 0.0000 0.0000 0.0000
W1 0.0000 0.0000 0.2280
C1 0.0000 0.0000 0.5000

## 2
# SiW2C, relaxed, DFT PBE-GGA
# Crystal system = tetragonal
# D(E_F) = 15.5 states/eV per cell
data_SiW2C
_chemical_formula_sum 'Si4 W8 C4'
_symmetry_space_group_name_H-M 'I -4 2 d'
_symmetry_Int_Tables_number 122
_symmetry_space_group_name_Hall 'I -4 2bw'
_cell_length_a 4.9703
_cell_length_b 4.9703
_cell_length_c 10.8621
_cell_angle_alpha 90.00
_cell_angle_beta 90.00
_cell_angle_gamma 90.00
loop_
_atom_site_label
_atom_site_fract_x
_atom_site_fract_y
_atom_site_fract_z
Si1 0.0000 0.0000 0.0000
W1 0.1673 0.2500 0.6250
C1 0.0000 0.0000 0.5000

## 3
# SiW2C, relaxed, DFT PBE-GGA
# Crystal system = cubic
# D(E_F) = 10.5 states/eV per cell
data_SiW2C
_chemical_formula_sum 'Si4 W8 C4'
_symmetry_space_group_name_H-M 'F m -3 m'
_symmetry_Int_Tables_number 225
_symmetry_space_group_name_Hall '-F 4 2 3'
_cell_length_a 5.8733
_cell_length_b 5.8733
_cell_length_c 5.8733
_cell_angle_alpha 90.00
_cell_angle_beta 90.00
_cell_angle_gamma 90.00
loop_
_atom_site_label
_atom_site_fract_x
_atom_site_fract_y
_atom_site_fract_z
Si1 0.0000 0.0000 0.0000
W1 0.2500 0.2500 0.2500
C1 0.0000 0.0000 0.5000

Winner for stability: 1

## 1
# YSiC3, relaxed, DFT PBE-GGA
# Crystal system = cubic
# D(E_F) = 3.1 states/eV per cell
data_YSiC3
_chemical_formula_sum 'Y1 Si1 C3'
_symmetry_space_group_name_H-M 'P m -3 m'
_symmetry_Int_Tables_number 221
_symmetry_space_group_name_Hall '-P 4 2 3'
_cell_length_a 4.4907
_cell_length_b 4.4907
_cell_length_c 4.4907
_cell_angle_alpha 90.00
_cell_angle_beta 90.00
_cell_angle_gamma 90.00
loop_
_atom_site_label
_atom_site_fract_x
_atom_site_fract_y
_atom_site_fract_z
Y1 0.0000 0.0000 0.0000
Si1 0.5000 0.5000 0.5000
C1 0.0000 0.0000 0.5000

## 2
# YSiC3, relaxed, DFT PBE-GGA
# Crystal system = cubic
# D(E_F) = 2.9 states/eV per cell
data_YSiC3
_chemical_formula_sum 'Y1 Si1 C3'
_symmetry_space_group_name_H-M 'P m -3 m'
_symmetry_Int_Tables_number 221
_symmetry_space_group_name_Hall '-P 4 2 3'
_cell_length_a 3.8258
_cell_length_b 3.8258
_cell_length_c 3.8258
_cell_angle_alpha 90.00
_cell_angle_beta 90.00
_cell_angle_gamma 90.00
loop_
_atom_site_label
_atom_site_fract_x
_atom_site_fract_y
_atom_site_fract_z
Y1 0.0000 0.0000 0.0000
Si1 0.5000 0.5000 0.5000
C1 0.0000 0.5000 0.5000

Winner for stability: 2

## 1
# Y2SiC, relaxed, DFT PBE-GGA
# Crystal system = cubic
# D(E_F) = 16.8 states/eV per cell
data_Y2SiC
_chemical_formula_sum 'Y8 Si4 C4'
_symmetry_space_group_name_H-M 'F m -3 m'
_symmetry_Int_Tables_number 225
_symmetry_space_group_name_Hall '-F 4 2 3'
_cell_length_a 6.7510
_cell_length_b 6.7510
_cell_length_c 6.7510
_cell_angle_alpha 90.00
_cell_angle_beta 90.00
_cell_angle_gamma 90.00
loop_
_atom_site_label
_atom_site_fract_x
_atom_site_fract_y
_atom_site_fract_z
Y1 0.2500 0.2500 0.2500
Si1 0.0000 0.0000 0.0000
C1 0.0000 0.0000 0.5000

## 2
# Y2SiC, relaxed, DFT PBE-GGA
# Crystal system = tetragonal
# D(E_F) = 6.0 states/eV per cell
data_Y2SiC
_chemical_formula_sum 'Y8 Si4 C4'
_symmetry_space_group_name_H-M 'I -4 2 d'
_symmetry_Int_Tables_number 122
_symmetry_space_group_name_Hall 'I -4 2bw'
_cell_length_a 6.9881
_cell_length_b 6.9881
_cell_length_c 6.9613
_cell_angle_alpha 90.00
_cell_angle_beta 90.00
_cell_angle_gamma 90.00
loop_
_atom_site_label
_atom_site_fract_x
_atom_site_fract_y
_atom_site_fract_z
Y1 0.1900 0.2500 0.1250
Si1 0.0000 0.0000 0.5000
C1 0.0000 0.0000 0.0000

Winner for stability: 2

## 1
# ZnSiC2, relaxed, DFT PBE-GGA
# Crystal system = cubic
# D(E_F) = 7.6 states/eV per cell
data_ZnSiC2
_chemical_formula_sum 'Zn4 Si4 C8'
_symmetry_space_group_name_H-M 'F m -3 m'
_symmetry_Int_Tables_number 225
_symmetry_space_group_name_Hall '-F 4 2 3'
_cell_length_a 5.4147
_cell_length_b 5.4147
_cell_length_c 5.4147
_cell_angle_alpha 90.00
_cell_angle_beta 90.00
_cell_angle_gamma 90.00
loop_
_atom_site_label
_atom_site_fract_x
_atom_site_fract_y
_atom_site_fract_z
Zn1 0.0000 0.0000 0.0000
Si1 0.0000 0.0000 0.5000
C1 0.2500 0.2500 0.2500

## 2
# ZnSiC2, relaxed, DFT PBE-GGA
# Crystal system = tetragonal
# D(E_F) = 4.6 states/eV per cell
data_ZnSiC2
_chemical_formula_sum 'Zn4 Si4 C8'
_symmetry_space_group_name_H-M 'I -4 2 d'
_symmetry_Int_Tables_number 122
_symmetry_space_group_name_Hall 'I -4 2bw'
_cell_length_a 4.6436
_cell_length_b 4.6436
_cell_length_c 8.7061
_cell_angle_alpha 90.00
_cell_angle_beta 90.00
_cell_angle_gamma 90.00
loop_
_atom_site_label
_atom_site_fract_x
_atom_site_fract_y
_atom_site_fract_z
Zn1 0.0000 0.0000 0.0000
Si1 0.0000 0.0000 0.5000
C1 0.2139 0.2500 0.6250

Winner for stability: 2

## 1
# ZnSi2C, relaxed, DFT PBE-GGA
# Crystal system = cubic
# D(E_F) = 5.8 states/eV per cell
data_ZnSi2C
_chemical_formula_sum 'Zn4 Si8 C4'
_symmetry_space_group_name_H-M 'F m -3 m'
_symmetry_Int_Tables_number 225
_symmetry_space_group_name_Hall '-F 4 2 3'
_cell_length_a 5.9459
_cell_length_b 5.9459
_cell_length_c 5.9459
_cell_angle_alpha 90.00
_cell_angle_beta 90.00
_cell_angle_gamma 90.00
loop_
_atom_site_label
_atom_site_fract_x
_atom_site_fract_y
_atom_site_fract_z
Zn1 0.0000 0.0000 0.0000
Si1 0.2500 0.2500 0.2500
C1 0.0000 0.0000 0.5000

## 2
# ZnSi2C, relaxed, DFT PBE-GGA
# Crystal system = tetragonal
# D(E_F) = 1.3 states/eV per cell
data_ZnSi2C
_chemical_formula_sum 'Zn4 Si8 C4'
_symmetry_space_group_name_H-M 'I -4 2 d'
_symmetry_Int_Tables_number 122
_symmetry_space_group_name_Hall 'I -4 2bw'
_cell_length_a 5.1808
_cell_length_b 5.1808
_cell_length_c 8.9603
_cell_angle_alpha 90.00
_cell_angle_beta 90.00
_cell_angle_gamma 90.00
loop_
_atom_site_label
_atom_site_fract_x
_atom_site_fract_y
_atom_site_fract_z
Zn1 0.0000 0.0000 0.0000
Si1 0.1717 0.2500 0.6250
C1 0.0000 0.0000 0.5000

Winner for stability: 2

## 1
# Zn3SiC, relaxed, DFT PBE-GGA
# Crystal system = cubic
# D(E_F) = 2.7 states/eV per cell
data_Zn3SiC
_chemical_formula_sum 'Zn3 Si1 C1'
_symmetry_space_group_name_H-M 'P m -3 m'
_symmetry_Int_Tables_number 221
_symmetry_space_group_name_Hall '-P 4 2 3'
_cell_length_a 4.1772
_cell_length_b 4.1772
_cell_length_c 4.1772
_cell_angle_alpha 90.00
_cell_angle_beta 90.00
_cell_angle_gamma 90.00
loop_
_atom_site_label
_atom_site_fract_x
_atom_site_fract_y
_atom_site_fract_z
Zn1 0.0000 0.0000 0.5000
Si1 0.5000 0.5000 0.5000
C1 0.0000 0.0000 0.0000

## 2
# Zn3SiC, relaxed, DFT PBE-GGA
# Crystal system = cubic
# D(E_F) = 1.9 states/eV per cell
data_Zn3SiC
_chemical_formula_sum 'Zn3 Si1 C1'
_symmetry_space_group_name_H-M 'P m -3 m'
_symmetry_Int_Tables_number 221
_symmetry_space_group_name_Hall '-P 4 2 3'
_cell_length_a 4.7011
_cell_length_b 4.7011
_cell_length_c 4.7011
_cell_angle_alpha 90.00
_cell_angle_beta 90.00
_cell_angle_gamma 90.00
loop_
_atom_site_label
_atom_site_fract_x
_atom_site_fract_y
_atom_site_fract_z
Zn1 0.0000 0.0000 0.5000
Si1 0.0000 0.0000 0.0000
C1 0.5000 0.5000 0.5000

Winner for stability: 1

## 1
# ZrSiC3, relaxed, DFT PBE-GGA
# Crystal system = cubic
# D(E_F) = 3.4 states/eV per cell
data_ZrSiC3
_chemical_formula_sum 'Zr1 Si1 C3'
_symmetry_space_group_name_H-M 'P m -3 m'
_symmetry_Int_Tables_number 221
_symmetry_space_group_name_Hall '-P 4 2 3'
_cell_length_a 4.3187
_cell_length_b 4.3187
_cell_length_c 4.3187
_cell_angle_alpha 90.00
_cell_angle_beta 90.00
_cell_angle_gamma 90.00
loop_
_atom_site_label
_atom_site_fract_x
_atom_site_fract_y
_atom_site_fract_z
Zr1 0.0000 0.0000 0.0000
Si1 0.5000 0.5000 0.5000
C1 0.0000 0.0000 0.5000

## 2
# ZrSiC3, relaxed, DFT PBE-GGA
# Crystal system = cubic
# D(E_F) = 3.1 states/eV per cell
data_ZrSiC3
_chemical_formula_sum 'Zr1 Si1 C3'
_symmetry_space_group_name_H-M 'P m -3 m'
_symmetry_Int_Tables_number 221
_symmetry_space_group_name_Hall '-P 4 2 3'
_cell_length_a 3.7462
_cell_length_b 3.7462
_cell_length_c 3.7462
_cell_angle_alpha 90.00
_cell_angle_beta 90.00
_cell_angle_gamma 90.00
loop_
_atom_site_label
_atom_site_fract_x
_atom_site_fract_y
_atom_site_fract_z
Zr1 0.0000 0.0000 0.0000
Si1 0.5000 0.5000 0.5000
C1 0.0000 0.5000 0.5000

Winner for stability: 2

## 1
# Sm3SnC, relaxed, DFT PBE-GGA
# Crystal system = cubic
# D(E_F) = 3.1 states/eV per cell
data_Sm3SnC
_chemical_formula_sum 'Sm3 Sn1 C1'
_symmetry_space_group_name_H-M 'P m -3 m'
_symmetry_Int_Tables_number 221
_symmetry_space_group_name_Hall '-P 4 2 3'
_cell_length_a 5.7366
_cell_length_b 5.7366
_cell_length_c 5.7366
_cell_angle_alpha 90.00
_cell_angle_beta 90.00
_cell_angle_gamma 90.00
loop_
_atom_site_label
_atom_site_fract_x
_atom_site_fract_y
_atom_site_fract_z
Sm1 0.0000 0.0000 0.5000
Sn1 0.0000 0.0000 0.0000
C1 0.5000 0.5000 0.5000

## 2
# Sm3SnC, relaxed, DFT PBE-GGA
# Crystal system = cubic
# D(E_F) = 2.5 states/eV per cell
data_Sm3SnC
_chemical_formula_sum 'Sm3 Sn1 C1'
_symmetry_space_group_name_H-M 'P m -3 m'
_symmetry_Int_Tables_number 221
_symmetry_space_group_name_Hall '-P 4 2 3'
_cell_length_a 5.0302
_cell_length_b 5.0302
_cell_length_c 5.0302
_cell_angle_alpha 90.00
_cell_angle_beta 90.00
_cell_angle_gamma 90.00
loop_
_atom_site_label
_atom_site_fract_x
_atom_site_fract_y
_atom_site_fract_z
Sm1 0.0000 0.0000 0.5000
Sn1 0.5000 0.5000 0.5000
C1 0.0000 0.0000 0.0000

Winner for stability: 2